Dy14TmIn | GGA-PBE | optimized geometry

a = 7.0170 Å, b = 7.0170 Å, c = 9.9700 Å
α = 90.00°, β = 90.00°, γ = 90.00°
Last column: nearest neighbours and their distance in Å.
Sites, in units of the cell vectors:
Dy 0.0000 0.0000 0.0000  12 Dy 3.51-3.54
Dy 0.0000 0.5000 0.0000  12 Dy 3.51-3.54
Dy 0.0000 0.5000 0.5000  8 Dy 3.50, 2 In 3.51, 2 Tm 3.51
Dy 0.2501 0.2501 0.2527  1 In 3.50, 10 Dy 3.50-3.54, 1 Tm 3.50
Dy 0.2501 0.2501 0.7473  1 In 3.50, 10 Dy 3.50-3.54, 1 Tm 3.50
Dy 0.2501 0.7499 0.2527  1 In 3.50, 10 Dy 3.50-3.54, 1 Tm 3.50
Dy 0.2501 0.7499 0.7473  1 In 3.50, 10 Dy 3.50-3.54, 1 Tm 3.50
Dy 0.5000 0.0000 0.0000  12 Dy 3.51-3.54
Dy 0.5000 0.0000 0.5000  8 Dy 3.50, 2 In 3.51, 2 Tm 3.51
Dy 0.5000 0.5000 0.0000  12 Dy 3.51-3.54
Dy 0.7499 0.2501 0.2527  1 In 3.50, 10 Dy 3.50-3.54, 1 Tm 3.50
Dy 0.7499 0.2501 0.7473  1 In 3.50, 10 Dy 3.50-3.54, 1 Tm 3.50
Dy 0.7499 0.7499 0.2527  1 In 3.50, 10 Dy 3.50-3.54, 1 Tm 3.50
Dy 0.7499 0.7499 0.7473  1 In 3.50, 10 Dy 3.50-3.54, 1 Tm 3.50
Tm 0.0000 0.0000 0.5000  12 Dy 3.50-3.51
In 0.5000 0.5000 0.5000  12 Dy 3.50-3.51

Computed properties:
- formation enthalpy at 0 K (eV per atom) = -0.0316
- space-group type = No. 123


Pr4SmTm3S8 | GGA-PBE | optimized geometry

a = 8.1022 Å, b = 8.1022 Å, c = 8.1022 Å
α = 58.33°, β = 58.33°, γ = 58.33°
Last column: nearest neighbours and their distance in Å.
Sites, in units of the cell vectors:
Pr 0.0000 0.0000 0.0000  6 S 2.87
Pr 0.0000 0.5000 0.5000  6 S 2.93-2.94
Pr 0.5000 0.0000 0.5000  6 S 2.93-2.94
Pr 0.5000 0.5000 0.0000  6 S 2.93-2.94
Sm 0.5000 0.5000 0.5000  6 S 2.79
Tm 0.0000 0.0000 0.5000  6 S 2.73
Tm 0.0000 0.5000 0.0000  6 S 2.73
Tm 0.5000 0.0000 0.0000  6 S 2.73
S 0.2352 0.7468 0.7468  2 Tm 2.73, 1 Sm 2.79, 3 Pr 2.87-2.94
S 0.2413 0.2413 0.2413  3 Tm 2.73, 3 Pr 2.93
S 0.2532 0.2532 0.7648  2 Tm 2.73, 1 Sm 2.79, 3 Pr 2.87-2.94
S 0.2532 0.7648 0.2532  2 Tm 2.73, 1 Sm 2.79, 3 Pr 2.87-2.94
S 0.7468 0.2352 0.7468  2 Tm 2.73, 1 Sm 2.79, 3 Pr 2.87-2.94
S 0.7468 0.7468 0.2352  2 Tm 2.73, 1 Sm 2.79, 3 Pr 2.87-2.94
S 0.7587 0.7587 0.7587  3 Tm 2.73, 3 Pr 2.93
S 0.7648 0.2532 0.2532  2 Tm 2.73, 1 Sm 2.79, 3 Pr 2.87-2.94

Computed properties:
- space-group type = No. 166
- energy (eV for the cell shown) = -102.14


Copy entry 1 word for word.
Dy14TmIn | GGA-PBE | optimized geometry

a = 7.0170 Å, b = 7.0170 Å, c = 9.9700 Å
α = 90.00°, β = 90.00°, γ = 90.00°
Last column: nearest neighbours and their distance in Å.
Sites, in units of the cell vectors:
Dy 0.0000 0.0000 0.0000  12 Dy 3.51-3.54
Dy 0.0000 0.5000 0.0000  12 Dy 3.51-3.54
Dy 0.0000 0.5000 0.5000  8 Dy 3.50, 2 In 3.51, 2 Tm 3.51
Dy 0.2501 0.2501 0.2527  1 In 3.50, 10 Dy 3.50-3.54, 1 Tm 3.50
Dy 0.2501 0.2501 0.7473  1 In 3.50, 10 Dy 3.50-3.54, 1 Tm 3.50
Dy 0.2501 0.7499 0.2527  1 In 3.50, 10 Dy 3.50-3.54, 1 Tm 3.50
Dy 0.2501 0.7499 0.7473  1 In 3.50, 10 Dy 3.50-3.54, 1 Tm 3.50
Dy 0.5000 0.0000 0.0000  12 Dy 3.51-3.54
Dy 0.5000 0.0000 0.5000  8 Dy 3.50, 2 In 3.51, 2 Tm 3.51
Dy 0.5000 0.5000 0.0000  12 Dy 3.51-3.54
Dy 0.7499 0.2501 0.2527  1 In 3.50, 10 Dy 3.50-3.54, 1 Tm 3.50
Dy 0.7499 0.2501 0.7473  1 In 3.50, 10 Dy 3.50-3.54, 1 Tm 3.50
Dy 0.7499 0.7499 0.2527  1 In 3.50, 10 Dy 3.50-3.54, 1 Tm 3.50
Dy 0.7499 0.7499 0.7473  1 In 3.50, 10 Dy 3.50-3.54, 1 Tm 3.50
Tm 0.0000 0.0000 0.5000  12 Dy 3.50-3.51
In 0.5000 0.5000 0.5000  12 Dy 3.50-3.51

Computed properties:
- formation enthalpy at 0 K (eV per atom) = -0.0316
- space-group type = No. 123